[1]
This record from Alexandria via LeMat-Bulk describes In3ReTc after structural relaxation. The functional is PBE.

Properties
DFT total energy: -4.892 eV/atom
Magnetic moment: 4.8 μB/f.u.
Energy relative to the elements: 1.31 eV per atom
Relative energy among the computed polymorphs: 0.000 eV per atom

Cell: 5.173 5.173 5.173 Å, 90.00 90.00 90.00°
Each line ends with the local moment (μB).
Fractional coordinates of all 5 atoms:
Re  0.000  0.000  0.000  0.70
Tc  0.500  0.500  0.500  3.54
In  0.000  0.500  0.000  -0.01
In  0.000  0.000  0.500  -0.03
In  0.500  0.000  0.000  -0.02


[2]
This record from Alexandria via LeMat-Bulk describes KMg3P after structural relaxation. The functional is PBE.

Properties
DFT total energy: -0.874 eV/atom
Magnetic moment: 2.1 μB/f.u.
Energy relative to the elements: 1.38 eV per atom
Relative energy among the computed polymorphs: 1.284 eV per atom

Cell: 6.513 6.513 6.513 Å, 90.00 90.00 90.00°
Each line ends with the local moment (μB).
Fractional coordinates of all 5 atoms:
P  0.500  0.500  0.500  0.87
K  0.000  0.000  0.000  0.00
Mg  0.000  0.500  0.000  0.01
Mg  0.000  0.000  0.500  0.00
Mg  0.500  0.000  0.000  0.01


[3]
This record from Alexandria via LeMat-Bulk describes AgHgN2F after structural relaxation. The functional is PBE.

Properties
DFT total energy: -3.051 eV/atom
Formation energy without anion corrections: 1284 meV per atom
Magnetic moment: 2.7 μB/f.u.
Relative energy among the computed polymorphs: 0.000 eV per atom

Cell: 4.139 4.139 4.541 Å, 90.00 90.00 90.00°
Each line ends with the local moment (μB).
Fractional coordinates of all 5 atoms:
N  0.000  0.500  0.000  0.92
N  0.500  0.000  0.000  0.92
Hg  0.500  0.500  0.500  -0.08
Ag  0.000  0.000  0.000  0.17
F  0.000  0.000  0.500  0.03


[4]
This record from Alexandria via LeMat-Bulk describes Na3CaRh3O8 after structural relaxation. The functional is PBE.

Properties
DFT total energy: -5.799 eV/atom
Formation energy without anion corrections: -1287 meV per atom
Magnetic moment: 0.0 μB/f.u.

Cell: 6.311 6.311 6.493 Å, 119.07 90.00 120.00°
Fractional coordinates of all 15 atoms:
Na  0.000  0.000  0.000
Na  0.000  0.500  0.000
Na  0.500  0.500  0.000
Ca  0.000  0.000  0.500
Rh  0.500  0.000  0.500
Rh  0.500  0.500  0.500
Rh  0.000  0.500  0.500
O  0.267  0.534  0.301
O  0.733  0.466  0.699
O  0.753  0.506  0.302
O  0.247  0.494  0.698
O  0.753  0.049  0.302
O  0.247  0.951  0.698
O  0.296  0.049  0.302
O  0.704  0.951  0.698


[5]
This record from Alexandria via LeMat-Bulk describes CdCo3Ru after structural relaxation. The functional is PBE.

Properties
DFT total energy: -5.021 eV/atom
Magnetic moment: 4.7 μB/f.u.
Energy relative to the elements: 1.28 eV per atom
Relative energy among the computed polymorphs: 0.000 eV per atom

Cell: 4.484 4.484 4.484 Å, 90.00 90.00 90.00°
Each line ends with the local moment (μB).
Fractional coordinates of all 5 atoms:
Ru  0.000  0.000  0.000  0.50
Co  0.000  0.500  0.000  1.44
Co  0.000  0.000  0.500  1.90
Co  0.500  0.000  0.000  0.90
Cd  0.500  0.500  0.500  -0.02


[6]
This record from Alexandria via LeMat-Bulk describes YTlAu2 after structural relaxation. The functional is PBE.

Properties
DFT total energy: -4.235 eV/atom
Magnetic moment: 0.0 μB/f.u.
Energy relative to the elements: -0.39 eV per atom

Cell: 3.721 3.721 6.680 Å, 90.00 90.00 89.99°
Fractional coordinates of all 4 atoms:
Au  0.000  0.000  0.003
Au  0.500  0.500  0.242
Tl  0.000  0.000  0.465
Y  0.500  0.500  0.791


[7]
This record from Alexandria via LeMat-Bulk describes Dy3Y9Er2 after structural relaxation. The functional is PBE.

Properties
DFT total energy: -5.671 eV/atom
Magnetic moment: 0.0 μB/f.u.
Energy relative to the elements: 0.12 eV per atom

Cell: 9.613 9.613 9.613 Å, 145.94 78.50 111.77°
Fractional coordinates of all 14 atoms:
Dy  0.000  0.000  0.000
Dy  0.298  0.298  0.000
Dy  0.702  0.702  0.000
Y  0.500  0.000  0.500
Y  0.946  0.342  0.604
Y  0.054  0.658  0.396
Y  0.738  0.342  0.396
Y  0.262  0.658  0.604
Y  0.935  0.158  0.777
Y  0.065  0.842  0.223
Y  0.380  0.158  0.223
Y  0.620  0.842  0.777
Er  0.319  0.500  0.819
Er  0.681  0.500  0.181


[8]
This record from Alexandria via LeMat-Bulk describes PaMn2V after structural relaxation. The functional is PBE.

Properties
DFT total energy: -9.237 eV/atom
Magnetic moment: 1.9 μB/f.u.
Energy relative to the elements: 0.00 eV per atom
Relative energy among the computed polymorphs: 0.000 eV per atom

Cell: 2.923 2.923 7.081 Å, 90.00 90.00 90.00°
Each line ends with the local moment (μB).
Fractional coordinates of all 4 atoms:
Pa  0.500  0.500  0.500  -0.30
Mn  0.000  0.000  0.804  1.53
Mn  0.000  0.000  0.196  1.53
V  0.500  0.500  0.000  -0.89


[9]
This record from Alexandria via LeMat-Bulk describes LaNiRh2 after structural relaxation. The functional is PBE.

Properties
DFT total energy: -6.548 eV/atom
Magnetic moment: 0.7 μB/f.u.
Energy relative to the elements: -0.20 eV per atom
Relative energy among the computed polymorphs: 0.316 eV per atom

Cell: 4.890 4.890 4.890 Å, 128.99 128.99 75.02°
Each line ends with the local moment (μB).
Fractional coordinates of all 4 atoms:
La  0.250  0.750  0.500  -0.03
Ni  0.750  0.250  0.500  0.47
Rh  0.000  0.000  0.000  0.14
Rh  0.500  0.500  0.000  0.14


[10]
This record from Alexandria via LeMat-Bulk describes Mg3BiBr after structural relaxation. The functional is PBE.

Properties
DFT total energy: -1.924 eV/atom
Formation energy without anion corrections: 143 meV per atom
Magnetic moment: 0.0 μB/f.u.
Relative energy among the computed polymorphs: 0.094 eV per atom

Cell: 5.296 5.296 5.296 Å, 90.00 90.00 90.00°
Fractional coordinates of all 5 atoms:
Mg  0.000  0.500  0.000
Mg  0.000  0.000  0.500
Mg  0.500  0.000  0.000
Bi  0.500  0.500  0.500
Br  0.000  0.000  0.000